# PBE-GGA CsBaP2O, relaxed
# Formation energy (no corrections), eV/atom: 0.120
# Offset from the most stable computed form, kJ/mol of formula units: 0
data_CsBaP2O
_chemical_formula_sum 'Cs1 Ba1 P2 O1'
_space_group_name_H-M_alt 'P 4/m m m'
_space_group_IT_number 123
_space_group_name_Hall '-P 4 2'
_cell_length_a 6.458
_cell_length_b 6.458
_cell_length_c 4.851
_cell_angle_alpha 90.00
_cell_angle_beta 90.00
_cell_angle_gamma 90.00
loop_
_atom_site_label
_atom_site_fract_x
_atom_site_fract_y
_atom_site_fract_z
Cs1 0.000 0.000 0.000
Ba1 0.500 0.500 0.500
P1 0.000 0.500 0.500
O1 0.500 0.500 0.000